(1)
DFT (meta-GGA SCAN) results for a crystal of AlZnCr relaxed with PBEsol.

Geometry as POSCAR:
```
AlZnCr
1.0
4.1340 0.0000 0.0000
2.0670 3.5802 0.0000
2.0670 1.1934 3.3754
Zn Al Cr
1 1 1
direct
0.5000 0.5000 0.5000
0.2500 0.2500 0.2500
0.0000 0.0000 0.0000
```

E = -12.99 eV per atom
E_form = 231 meV per atom
crystal system = cubic

=====

(2)
DFT (meta-GGA SCAN) results for a crystal of AlZn2Cr relaxed with PBEsol.

Geometry as POSCAR:
```
AlZn2Cr
1.0
3.7236 0.0000 0.0000
0.0000 3.7236 0.0000
0.0000 0.0000 3.8368
Al Zn Cr
1 2 1
direct
0.5000 0.5000 0.5000
0.0000 0.5000 0.0000
0.5000 0.0000 0.0000
0.0000 0.0000 0.5000
```

E = -13.40 eV per atom
E_form = -112 meV per atom
crystal system = tetragonal

=====

- Which formula does entry 2 have?
  AlZn2Cr

=====

- Among the records above, which one has the highest E?
  AlZnCr